Compound: CsLiI2
Source: Alexandria via LeMat-Bulk
Functional: PBE-GGA
Structure: relaxed

a b c (Å): 8.8064 4.9047 17.1662
angles (deg): 90.00 90.00 90.00
Closest atoms and distances in Å follow each position.
Space group Pnma (No. 62)
Symmetry-distinct sites (fractional):
1 Cs 0.1237 0.2500 0.1457  7 I 3.80-4.21
2 Li 0.0493 0.7500 0.4239  4 I 2.70-2.90
3 I 0.0765 0.2500 0.7195  1 Li 2.70
4 I 0.2010 0.2500 0.4684  3 Li 2.88-2.90

Computed properties:
The value obtained for the formation energy from raw total energies is -1367 meV/atom.